The following is a DFT calculation (PBE+U) of an optimized crystal structure of KLaFeBiO6.

D(E_F), states/eV per cell: 0.10
Calculated total energy, eV for the cell shown: -62.21
Mass density, Mg/m³: 6.52
Symmetry: No. 216

Cell: 5.791 5.791 5.791 Å, 60.00 60.00 60.00°
Atoms (fractional coordinates):
O (0.256, 0.744, 0.256)
O (0.744, 0.256, 0.744)
O (0.256, 0.256, 0.744)
O (0.744, 0.256, 0.256)
O (0.256, 0.744, 0.744)
O (0.744, 0.744, 0.256)
K (0.750, 0.750, 0.750)
Fe (0.500, 0.500, 0.500)
La (0.250, 0.250, 0.250)
Bi (0.000, 0.000, 0.000)